Material: RbCaC2
Method: DFT, SCAN
State: PBEsol geometry

The value obtained for the total moment is 0.000 μB per cell. As for the uncorrected energy: -172.35 eV per cell.

The structure belongs to space group I4_1/amd (No. 141, origin choice 2); the cell edges are 4.344, 4.344 and 17.009 Å and the angles 90.00°, 90.00° and 90.00°. The inequivalent atoms are Rb at (0.000, 0.250, 0.375), Ca at (0.000, 0.250, 0.875) and C at (0.000, 0.000, 0.000).